# SrAlP2

An optimized crystal structure of SrAlP2 (PBE-GGA, Alexandria).

Lattice parameters (Å, degrees): 3.562 3.562 7.604 90.00 90.00 89.99
Last column: magnetic moment on the atom in μB.
Atoms (fractional coordinates):
P1 0.500 0.500 0.252  0.10
P2 0.000 0.000 0.852  0.01
Sr1 0.000 0.000 0.456  0.02
Al1 0.500 0.500 0.941  0.00

Results
**Formation energy from the elements**: -0.28 eV/atom
**Energy**: -4.34 eV per atom